Entry 1:
# FeIrC2, relaxed, DFT PBE
data_FeIrC2
_space_group_name_H-M_alt 'I -4 2 d'
_space_group_IT_number 122
_space_group_name_Hall 'I -4 2bw'
_cell_length_a 4.4137
_cell_length_b 4.4137
_cell_length_c 9.0556
_cell_angle_alpha 90.00
_cell_angle_beta 90.00
_cell_angle_gamma 90.00
loop_
_atom_site_label
_atom_site_fract_x
_atom_site_fract_y
_atom_site_fract_z
Fe1 0.0000 0.0000 0.0000
Ir1 0.0000 0.0000 0.5000
C1 0.2238 0.2500 0.1250
# N(E_F): 3.5 states/eV/f.u.

Entry 2:
# AcLaPr2, relaxed, DFT PBE
data_AcLaPr2
_space_group_name_H-M_alt 'R 3 m'
_space_group_IT_number 160
_space_group_name_Hall 'R 3 -2"'
_cell_length_a 3.8239
_cell_length_b 3.8239
_cell_length_c 36.7654
_cell_angle_alpha 90.00
_cell_angle_beta 90.00
_cell_angle_gamma 120.00
loop_
_atom_site_label
_atom_site_fract_x
_atom_site_fract_y
_atom_site_fract_z
Ac1 0.0000 0.0000 0.0000
La1 0.0000 0.0000 0.8336
Pr1 0.0000 0.0000 0.4173
Pr2 0.0000 0.0000 0.5820
# N(E_F): 7.1 states/eV/f.u.

Entry 3:
# Ce2GaPt, relaxed, DFT PBE
data_Ce2GaPt
_space_group_name_H-M_alt 'P 4/m m m'
_space_group_IT_number 123
_space_group_name_Hall '-P 4 2'
_cell_length_a 4.4729
_cell_length_b 4.4729
_cell_length_c 4.3137
_cell_angle_alpha 90.00
_cell_angle_beta 90.00
_cell_angle_gamma 90.00
loop_
_atom_site_label
_atom_site_fract_x
_atom_site_fract_y
_atom_site_fract_z
Ce1 0.0000 0.5000 0.0000
Ga1 0.0000 0.0000 0.5000
Pt1 0.5000 0.5000 0.5000
# N(E_F): 6.4 states/eV/f.u.

Entry 4:
# AcB2IrRh, relaxed, DFT PBE
data_AcB2IrRh
_space_group_name_H-M_alt 'I -4 m 2'
_space_group_IT_number 119
_space_group_name_Hall 'I -4 -2'
_cell_length_a 3.9143
_cell_length_b 3.9143
_cell_length_c 10.7567
_cell_angle_alpha 90.00
_cell_angle_beta 90.00
_cell_angle_gamma 90.00
loop_
_atom_site_label
_atom_site_fract_x
_atom_site_fract_y
_atom_site_fract_z
Ac1 0.0000 0.0000 0.0000
B1 0.0000 0.0000 0.3341
Ir1 0.0000 0.5000 0.7500
Rh1 0.0000 0.5000 0.2500
# N(E_F): 1.6 states/eV/f.u.

Entry 5:
# CuBi3W, relaxed, DFT PBE
data_CuBi3W
_space_group_name_H-M_alt 'P m -3 m'
_space_group_IT_number 221
_space_group_name_Hall '-P 4 2 3'
_cell_length_a 5.1717
_cell_length_b 5.1717
_cell_length_c 5.1717
_cell_angle_alpha 90.00
_cell_angle_beta 90.00
_cell_angle_gamma 90.00
loop_
_atom_site_label
_atom_site_fract_x
_atom_site_fract_y
_atom_site_fract_z
Cu1 0.0000 0.0000 0.0000
Bi1 0.0000 0.0000 0.5000
W1 0.5000 0.5000 0.5000
# N(E_F): 4.0 states/eV/f.u.

Entry 6:
# P2PbS2, relaxed, DFT PBE
data_P2PbS2
_space_group_name_H-M_alt 'P 4/m m m'
_space_group_IT_number 123
_space_group_name_Hall '-P 4 2'
_cell_length_a 5.3215
_cell_length_b 5.3215
_cell_length_c 5.0565
_cell_angle_alpha 90.00
_cell_angle_beta 90.00
_cell_angle_gamma 90.00
loop_
_atom_site_label
_atom_site_fract_x
_atom_site_fract_y
_atom_site_fract_z
P1 0.0000 0.5000 0.0000
Pb1 0.0000 0.0000 0.0000
S1 0.0000 0.0000 0.5000
S2 0.5000 0.5000 0.5000
# N(E_F): 4.5 states/eV/f.u.

Entry 7:
# GeSIO2, relaxed, DFT PBE
data_GeSIO2
_space_group_name_H-M_alt 'P 4/m m m'
_space_group_IT_number 123
_space_group_name_Hall '-P 4 2'
_cell_length_a 3.9981
_cell_length_b 3.9981
_cell_length_c 5.3604
_cell_angle_alpha 90.00
_cell_angle_beta 90.00
_cell_angle_gamma 90.00
loop_
_atom_site_label
_atom_site_fract_x
_atom_site_fract_y
_atom_site_fract_z
Ge1 0.0000 0.0000 0.0000
S1 0.5000 0.5000 0.5000
I1 0.5000 0.5000 0.0000
O1 0.0000 0.5000 0.5000
# N(E_F): 1.7 states/eV/f.u.

Entry 8:
# SrTaPt2O8, relaxed, DFT PBE
data_SrTaPt2O8
_space_group_name_H-M_alt 'P -3'
_space_group_IT_number 147
_cell_length_a 5.4398
_cell_length_b 5.4398
_cell_length_c 7.3035
_cell_angle_alpha 90.00
_cell_angle_beta 90.00
_cell_angle_gamma 120.00
loop_
_space_group_symop_operation_xyz
'x,y,z'
'-x,-y,-z'
'-y,x-y,z'
'y,-x+y,-z'
'-x+y,-x,z'
'x-y,x,-z'
loop_
_atom_site_label
_atom_site_fract_x
_atom_site_fract_y
_atom_site_fract_z
Sr1 0.0000 0.0000 0.0000
Ta1 0.0000 0.0000 0.5000
Pt1 0.3333 0.6667 0.7938
O1 0.0649 0.3145 0.6661
O2 0.3333 0.6667 0.0464
# N(E_F): 10.2 states/eV/f.u.

no.,electronic total energy (eV per atom)
1,-8.3947
2,-4.6229
3,-5.9502
4,-7.3447
5,-4.4370
6,-3.0067
7,-3.5939
8,-6.4379